# 1
First-principles (PBE-GGA) data for NpPaSi2Ir5 after structural relaxation, as listed in the Alexandria database.

ΔE_f (raw)   -0.519 eV/atom
Total magnetization   3.7 Bohr magnetons per cell

abc: 3.992 3.992 11.252
angles: 90.00 90.00 90.00
Sites, in units of the cell vectors:
Np 0.000 0.000 0.000
Pa 0.000 0.000 0.500
Si 0.500 0.500 0.209
Si 0.500 0.500 0.791
Ir 0.000 0.500 0.322
Ir 0.000 0.500 0.678
Ir 0.500 0.000 0.322
Ir 0.500 0.000 0.678
Ir 0.500 0.500 0.000

---

# 2
First-principles (PBE-GGA) data for NpPaSnIr after structural relaxation, as listed in the Alexandria database.

Total magnetization   27.4 Bohr magnetons per cell
Formation enthalpy at 0 K   -0.091 eV per atom

abc: 7.005 7.005 7.005
angles: 90.00 90.00 90.00
Sites, in units of the cell vectors:
Np 0.000 0.000 0.000
Np 0.000 0.500 0.500
Np 0.500 0.000 0.500
Np 0.500 0.500 0.000
Pa 0.250 0.250 0.250
Pa 0.250 0.750 0.750
Pa 0.750 0.250 0.750
Pa 0.750 0.750 0.250
Sn 0.250 0.250 0.750
Sn 0.250 0.750 0.250
Sn 0.750 0.250 0.250
Sn 0.750 0.750 0.750
Ir 0.000 0.000 0.500
Ir 0.000 0.500 0.000
Ir 0.500 0.000 0.000
Ir 0.500 0.500 0.500

---

# 3
First-principles (PBE-GGA) data for NpPaTcIr after structural relaxation, as listed in the Alexandria database.

Total magnetization   14.0 Bohr magnetons per cell
Formation enthalpy at 0 K   -0.206 eV per atom

abc: 6.840 6.840 6.840
angles: 90.00 90.00 90.00
Sites, in units of the cell vectors:
Np 0.000 0.000 0.000
Np 0.000 0.500 0.500
Np 0.500 0.000 0.500
Np 0.500 0.500 0.000
Pa 0.000 0.000 0.500
Pa 0.000 0.500 0.000
Pa 0.500 0.000 0.000
Pa 0.500 0.500 0.500
Tc 0.250 0.250 0.750
Tc 0.250 0.750 0.250
Tc 0.750 0.250 0.250
Tc 0.750 0.750 0.750
Ir 0.250 0.250 0.250
Ir 0.250 0.750 0.750
Ir 0.750 0.250 0.750
Ir 0.750 0.750 0.250